(1)
Compound: TaBeAg2
Source: the Alexandria database
Functional: PBE
Structure: optimized geometry

Values from the calculation:
**Raw total energy**: -5.2098 eV per atom
**Space group**: P4mm (99)
**Formation energy from the elements**: 111 meV/atom
**N(E_F)**: 0.22 states/eV/atom
**Total magnetization**: 0.000 μB per atom

a = 2.826 Å, b = 2.826 Å, c = 7.743 Å
α = 90.00°, β = 90.00°, γ = 90.00°
Fractional positions:
Ta (0.000, 0.000, 0.000)
Be (0.500, 0.500, 0.788)
Ag (0.000, 0.000, 0.584)
Ag (0.500, 0.500, 0.293)

(2)
Compound: Al2BiRu2
Source: the Alexandria database
Functional: PBE
Structure: optimized geometry

Values from the calculation:
**Raw total energy**: -6.1063 eV per atom
**Space group**: P4/mbm (127)
**Formation energy from the elements**: -123 meV/atom
**N(E_F)**: 0.90 states/eV/atom
**Total magnetization**: 0.000 μB per atom

a = 7.359 Å, b = 7.359 Å, c = 3.098 Å
α = 90.00°, β = 90.00°, γ = 90.00°
Fractional positions:
Al (0.135, 0.365, 0.000)
Al (0.365, 0.865, 0.000)
Al (0.635, 0.135, 0.000)
Al (0.865, 0.635, 0.000)
Bi (0.000, 0.000, 0.500)
Bi (0.500, 0.500, 0.500)
Ru (0.154, 0.654, 0.500)
Ru (0.346, 0.154, 0.500)
Ru (0.654, 0.846, 0.500)
Ru (0.846, 0.346, 0.500)

(3)
Compound: LiSb2I8
Source: the Alexandria database
Functional: PBE
Structure: optimized geometry

Values from the calculation:
**Raw total energy**: -2.3988 eV per atom
**Space group**: C2/m (12)
**N(E_F)**: 0.52 states/eV/atom
**Total magnetization**: 0.000 μB per atom

a = 9.280 Å, b = 9.280 Å, c = 7.365 Å
α = 95.99°, β = 95.99°, γ = 79.90°
Fractional positions:
Li (0.000, 0.000, 0.000)
Sb (0.203, 0.203, 0.684)
Sb (0.797, 0.797, 0.316)
I (0.087, 0.730, 0.200)
I (0.190, 0.190, 0.292)
I (0.270, 0.913, 0.800)
I (0.396, 0.396, 0.878)
I (0.604, 0.604, 0.122)
I (0.730, 0.087, 0.200)
I (0.810, 0.810, 0.708)
I (0.913, 0.270, 0.800)

(4)
Compound: BaCd2Ag3
Source: the Alexandria database
Functional: PBE
Structure: optimized geometry

Values from the calculation:
**Raw total energy**: -2.2590 eV per atom
**Space group**: Cmcm (63)
**Formation energy from the elements**: -208 meV/atom
**N(E_F)**: 0.33 states/eV/atom
**Energy above the most stable polymorph in this dataset**: 5 meV per atom
**Total magnetization**: 0.000 μB per atom

a = 7.346 Å, b = 7.346 Å, c = 5.834 Å
α = 90.00°, β = 90.00°, γ = 80.62°
Fractional positions:
Ba (0.195, 0.805, 0.750)
Ba (0.805, 0.195, 0.250)
Cd (0.279, 0.279, 0.000)
Cd (0.279, 0.279, 0.500)
Cd (0.721, 0.721, 0.000)
Cd (0.721, 0.721, 0.500)
Ag (0.046, 0.581, 0.250)
Ag (0.419, 0.954, 0.250)
Ag (0.434, 0.566, 0.250)
Ag (0.566, 0.434, 0.750)
Ag (0.581, 0.046, 0.750)
Ag (0.954, 0.419, 0.750)

(5)
Compound: Pr3Sm6DyY2
Source: the Alexandria database
Functional: PBE
Structure: optimized geometry

Values from the calculation:
**Raw total energy**: -4.9989 eV per atom
**Space group**: C2/m (12)
**Formation energy from the elements**: 16 meV/atom
**N(E_F)**: 1.44 states/eV/atom
**Total magnetization**: 0.000 μB per atom

a = 6.303 Å, b = 6.303 Å, c = 12.046 Å
α = 95.00°, β = 95.00°, γ = 120.01°
Fractional positions:
Pr (0.000, 0.000, 0.000)
Pr (0.333, 0.667, 0.000)
Pr (0.667, 0.333, 0.000)
Sm (0.085, 0.418, 0.254)
Sm (0.249, 0.249, 0.746)
Sm (0.418, 0.085, 0.254)
Sm (0.582, 0.915, 0.746)
Sm (0.751, 0.751, 0.254)
Sm (0.915, 0.582, 0.746)
Dy (0.500, 0.500, 0.500)
Y (0.167, 0.833, 0.500)
Y (0.833, 0.167, 0.500)

(6)
Compound: ErTmCuAg
Source: the Alexandria database
Functional: PBE
Structure: optimized geometry

Values from the calculation:
**Raw total energy**: -4.3013 eV per atom
**Space group**: P4mm (99)
**Formation energy from the elements**: -306 meV/atom
**N(E_F)**: 0.64 states/eV/atom
**Energy above the most stable polymorph in this dataset**: 0 meV per atom
**Total magnetization**: 0.000 μB per atom

a = 3.491 Å, b = 3.491 Å, c = 7.114 Å
α = 90.00°, β = 90.00°, γ = 90.00°
Fractional positions:
Er (0.000, 0.000, 0.000)
Tm (0.000, 0.000, 0.528)
Cu (0.500, 0.500, 0.761)
Ag (0.500, 0.500, 0.267)

(7)
Compound: V2Ga7Tc2
Source: the Alexandria database
Functional: PBE
Structure: optimized geometry

Values from the calculation:
**Raw total energy**: -5.4324 eV per atom
**Space group**: C2/m (12)
**Formation energy from the elements**: 36 meV/atom
**N(E_F)**: 0.58 states/eV/atom
**Total magnetization**: 0.000 μB per atom

a = 6.472 Å, b = 6.472 Å, c = 4.664 Å
α = 93.41°, β = 93.41°, γ = 108.64°
Fractional positions:
V (0.149, 0.149, 0.421)
V (0.851, 0.851, 0.579)
Ga (0.101, 0.546, 0.275)
Ga (0.310, 0.310, 0.942)
Ga (0.454, 0.899, 0.725)
Ga (0.500, 0.500, 0.500)
Ga (0.546, 0.101, 0.275)
Ga (0.690, 0.690, 0.058)
Ga (0.899, 0.454, 0.725)
Tc (0.126, 0.874, 0.000)
Tc (0.874, 0.126, 0.000)

(8)
Compound: SeI3N
Source: the Alexandria database
Functional: PBE
Structure: optimized geometry

Values from the calculation:
**Raw total energy**: -2.1365 eV per atom
**Space group**: Pm-3m (221)
**N(E_F)**: 1.19 states/eV/atom
**Energy above the most stable polymorph in this dataset**: 451 meV per atom
**Total magnetization**: 0.551 μB per atom

a = 5.767 Å, b = 5.767 Å, c = 5.767 Å
α = 90.00°, β = 90.00°, γ = 90.00°
Fractional positions:
Se (0.000, 0.000, 0.000)
I (0.000, 0.000, 0.500)
I (0.000, 0.500, 0.000)
I (0.500, 0.000, 0.000)
N (0.500, 0.500, 0.500)

(9)
Compound: CaB2P
Source: the Alexandria database
Functional: PBE
Structure: optimized geometry

Values from the calculation:
**Raw total energy**: -5.0397 eV per atom
**Space group**: I4_1/amd (141)
**Formation energy from the elements**: 152 meV/atom
**N(E_F)**: 0.23 states/eV/atom
**Total magnetization**: 0.000 μB per atom

a = 7.741 Å, b = 7.741 Å, c = 7.741 Å
α = 150.66°, β = 150.66°, γ = 41.98°
Fractional positions:
Ca (0.375, 0.625, 0.750)
Ca (0.625, 0.375, 0.250)
B (0.000, 0.000, 0.000)
B (0.000, 0.000, 0.500)
B (0.000, 0.500, 0.000)
B (0.500, 0.000, 0.500)
P (0.125, 0.875, 0.250)
P (0.875, 0.125, 0.750)

(10)
Compound: Nb3OsW
Source: the Alexandria database
Functional: PBE
Structure: optimized geometry

Values from the calculation:
**Raw total energy**: -10.6748 eV per atom
**Space group**: C2/c (15)
**Formation energy from the elements**: 204 meV/atom
**N(E_F)**: 0.98 states/eV/atom
**Energy above the most stable polymorph in this dataset**: 0 meV per atom
**Total magnetization**: 0.000 μB per atom

a = 7.804 Å, b = 7.804 Å, c = 6.453 Å
α = 91.55°, β = 91.55°, γ = 63.48°
Fractional positions:
Nb (0.060, 0.252, 0.057)
Nb (0.186, 0.696, 0.586)
Nb (0.252, 0.060, 0.557)
Nb (0.302, 0.395, 0.939)
Nb (0.304, 0.814, 0.914)
Nb (0.395, 0.302, 0.439)
Nb (0.605, 0.698, 0.561)
Nb (0.696, 0.186, 0.086)
Nb (0.698, 0.605, 0.061)
Nb (0.748, 0.940, 0.443)
Nb (0.814, 0.304, 0.414)
Nb (0.940, 0.748, 0.943)
Os (0.071, 0.929, 0.250)
Os (0.412, 0.588, 0.250)
Os (0.588, 0.412, 0.750)
Os (0.929, 0.071, 0.750)
W (0.010, 0.565, 0.317)
W (0.435, 0.990, 0.183)
W (0.565, 0.010, 0.817)
W (0.990, 0.435, 0.683)

(11)
Compound: MgAs2BrF
Source: the Alexandria database
Functional: PBE
Structure: optimized geometry

Values from the calculation:
**Raw total energy**: -2.6750 eV per atom
**Space group**: P4/mmm (123)
**N(E_F)**: 0.78 states/eV/atom
**Energy above the most stable polymorph in this dataset**: 326 meV per atom
**Total magnetization**: 0.100 μB per atom

a = 5.048 Å, b = 5.048 Å, c = 5.015 Å
α = 90.00°, β = 90.00°, γ = 90.00°
Fractional positions:
Mg (0.000, 0.000, 0.000)
As (0.000, 0.500, 0.000)
As (0.500, 0.000, 0.000)
Br (0.000, 0.000, 0.500)
F (0.500, 0.500, 0.500)

(12)
Compound: ScSbPt
Source: the Alexandria database
Functional: PBE
Structure: optimized geometry

Values from the calculation:
**Raw total energy**: -6.1696 eV per atom
**Space group**: I4mm (107)
**N(E_F)**: 0.74 states/eV/atom
**Total magnetization**: 0.000 μB per atom

a = 5.032 Å, b = 5.032 Å, c = 5.032 Å
α = 135.62°, β = 135.62°, γ = 64.56°
Fractional positions:
Sc (0.000, 0.000, 0.000)
Sb (0.672, 0.672, 0.000)
Pt (0.350, 0.350, 0.000)